# 1
Compound: PmThAgOs
Source: the Alexandria database
Functional: PBE
Structure: optimized geometry

The calculated formation energy is -0.12 eV per atom. Its density of states at the Fermi level is 1.206 states/eV per atom.

The structure belongs to space group F-43m (No. 216); the cell edges are 7.2444, 7.2444 and 7.2444 Å and the angles 90.00°, 90.00° and 90.00°. Symmetry generates all atoms from Pm at (0.0000, 0.0000, 0.0000), Th at (0.0000, 0.0000, 0.5000), Ag at (0.2500, 0.2500, 0.7500) and Os at (0.2500, 0.2500, 0.2500).


# 2
Compound: ScBe2Te
Source: the Alexandria database
Functional: PBE
Structure: optimized geometry

The uncorrected formation energy is 442 meV/atom. Its density of states at the Fermi level is 0.841 states/eV per atom.

The structure belongs to space group F-43m (No. 216); the cell edges are 6.5789, 6.5789 and 6.5789 Å and the angles 90.00°, 90.00° and 90.00°. Symmetry generates all atoms from Sc at (0.0000, 0.0000, 0.0000), Be at (0.0000, 0.0000, 0.5000), Be at (0.2500, 0.2500, 0.2500) and Te at (0.2500, 0.2500, 0.7500).


# 3
Compound: HoScCdGa
Source: the Alexandria database
Functional: PBE
Structure: optimized geometry

The calculated formation energy is -0.45 eV per atom. The value obtained for the energy above the most stable polymorph in this dataset is 0.0 kJ/mol of atoms. Its density of states at the Fermi level is 0.635 states/eV per atom.

The structure belongs to space group P4mm (No. 99); the cell edges are 3.5140, 3.5140 and 7.2002 Å and the angles 90.00°, 90.00° and 90.00°. Symmetry generates all atoms from Ho at (0.0000, 0.0000, 0.0000), Sc at (0.0000, 0.0000, 0.5322), Cd at (0.5000, 0.5000, 0.2861) and Ga at (0.5000, 0.5000, 0.7489).